A geometry-optimized YH4Pd3 structure, computed with PBE-GGA.

Cell lengths 5.4895, 5.4895, 5.4895 Å; angles 90.00, 90.00, 90.00 degrees
Last column: nearest neighbours and their distance in Å.
Element x y z (fractional)
Y 0.0000 0.0000 0.0000  8 H 2.38
Y 0.5000 0.5000 0.5000  8 H 2.38
H 0.2500 0.2500 0.2500  3 Pd 1.94
H 0.2500 0.2500 0.7500  3 Pd 1.94
H 0.2500 0.7500 0.2500  3 Pd 1.94
H 0.2500 0.7500 0.7500  3 Pd 1.94
H 0.7500 0.2500 0.2500  3 Pd 1.94
H 0.7500 0.2500 0.7500  3 Pd 1.94
H 0.7500 0.7500 0.2500  3 Pd 1.94
H 0.7500 0.7500 0.7500  3 Pd 1.94
Pd 0.0000 0.2500 0.5000  4 H 1.94
Pd 0.0000 0.7500 0.5000  4 H 1.94
Pd 0.2500 0.5000 0.0000  4 H 1.94
Pd 0.5000 0.0000 0.2500  4 H 1.94
Pd 0.5000 0.0000 0.7500  4 H 1.94
Pd 0.7500 0.5000 0.0000  4 H 1.94

Results
VASP energy in eV/atom: -4.835
Calculated volume in Å³/cell: 165.42


A geometry-optimized YHPd3 structure, computed with PBE-GGA.

Cell lengths 5.9051, 5.9051, 4.9271 Å; angles 90.00, 90.00, 120.00 degrees
Last column: nearest neighbours and their distance in Å.
Element x y z (fractional)
Y 0.3333 0.6667 0.2500  2 H 2.46
Y 0.6667 0.3333 0.7500  2 H 2.46
H 0.3333 0.6667 0.7500  3 Pd 1.81
H 0.6667 0.3333 0.2500  3 Pd 1.81
Pd 0.1561 0.3123 0.7500  1 H 1.81
Pd 0.1561 0.8439 0.7500  1 H 1.81
Pd 0.3123 0.1561 0.2500  1 H 1.81
Pd 0.6877 0.8439 0.7500  1 H 1.81
Pd 0.8439 0.1561 0.2500  1 H 1.81
Pd 0.8439 0.6877 0.2500  1 H 1.81

Results
VASP energy in eV/atom: -5.815
Calculated volume in Å³/cell: 148.77


A geometry-optimized YHPd3 structure, computed with PBE-GGA.

Cell lengths 7.2000, 7.2000, 7.0139 Å; angles 109.31, 109.31, 90.27 degrees
Last column: nearest neighbours and their distance in Å.
Element x y z (fractional)
Y 0.0864 0.2862 0.1544  7 Pd 2.84-3.14, 1 H 3.14
Y 0.2862 0.0864 0.6544  7 Pd 2.84-3.14, 1 H 3.14
Y 0.7138 0.9136 0.3456  7 Pd 2.84-3.14, 1 H 3.14
Y 0.9136 0.7138 0.8456  7 Pd 2.84-3.14, 1 H 3.14
H 0.2768 0.7232 0.2500  4 Pd 1.81-1.86
H 0.4722 0.5278 0.7500  4 Pd 1.89-1.96
H 0.5278 0.4722 0.2500  4 Pd 1.89-1.96
H 0.7232 0.2768 0.7500  4 Pd 1.81-1.86
Pd 0.0510 0.7156 0.3091  1 H 1.81
Pd 0.1959 0.5083 0.6028  1 H 1.89
Pd 0.2844 0.9490 0.1909  1 H 1.81
Pd 0.3108 0.5207 0.0224  2 H 1.86-1.96
Pd 0.4793 0.6892 0.4776  2 H 1.86-1.96
Pd 0.4917 0.8041 0.8972  1 H 1.89
Pd 0.5083 0.1959 0.1028  1 H 1.89
Pd 0.5207 0.3108 0.5224  2 H 1.86-1.96
Pd 0.6892 0.4793 0.9776  2 H 1.86-1.96
Pd 0.7156 0.0510 0.8091  1 H 1.81
Pd 0.8041 0.4917 0.3972  1 H 1.89
Pd 0.9490 0.2844 0.6909  1 H 1.81

Results
VASP energy in eV/atom: -5.596
Calculated volume in Å³/cell: 321.16


A geometry-optimized YHPd3 structure, computed with PBE-GGA.

Cell lengths 4.2016, 4.2016, 4.2016 Å; angles 89.72, 89.72, 89.72 degrees
Last column: nearest neighbours and their distance in Å.
Element x y z (fractional)
Y 0.0000 0.0000 0.0000  1 H 2.52
H 0.6550 0.6550 0.6550  3 Pd 1.78
Pd 0.0164 0.4962 0.4962  1 H 1.78
Pd 0.4962 0.0164 0.4962  1 H 1.78
Pd 0.4962 0.4962 0.0164  1 H 1.78

Results
VASP energy in eV/atom: -5.764
Calculated volume in Å³/cell: 74.17


A geometry-optimized YH4Pd structure, computed with PBE-GGA.

Cell lengths 3.7074, 6.6907, 5.0863 Å; angles 90.00, 90.00, 90.00 degrees
Last column: nearest neighbours and their distance in Å.
Element x y z (fractional)
Y 0.2500 0.2500 0.1119  8 H 2.12-2.36
Y 0.7500 0.7500 0.8881  8 H 2.12-2.36
H 0.2500 0.2500 0.6325  2 Pd 1.85
H 0.2500 0.5846 0.0773  1 Pd 1.79
H 0.2500 0.7500 0.6857  1 Pd 1.68
H 0.2500 0.9154 0.0773  1 Pd 1.79
H 0.7500 0.0846 0.9227  1 Pd 1.79
H 0.7500 0.2500 0.3143  1 Pd 1.68
H 0.7500 0.4154 0.9227  1 Pd 1.79
H 0.7500 0.7500 0.3675  2 Pd 1.85
Pd 0.2500 0.7500 0.3550  5 H 1.68-1.85
Pd 0.7500 0.2500 0.6450  5 H 1.68-1.85

Results
VASP energy in eV/atom: -4.567
Calculated volume in Å³/cell: 126.17


A geometry-optimized YH2Pd2 structure, computed with PBE-GGA.

Cell lengths 6.1388, 6.1388, 3.6583 Å; angles 90.00, 90.00, 90.00 degrees
Last column: nearest neighbours and their distance in Å.
Element x y z (fractional)
Y 0.0000 0.0000 0.0000  4 H 2.33
Y 0.5000 0.5000 0.0000  4 H 2.33
H 0.1536 0.3464 0.0000  2 Pd 1.83
H 0.3464 0.8464 0.0000  2 Pd 1.83
H 0.6536 0.1536 0.0000  2 Pd 1.83
H 0.8464 0.6536 0.0000  2 Pd 1.83
Pd 0.1554 0.3446 0.5000  2 H 1.83
Pd 0.3446 0.8446 0.5000  2 H 1.83
Pd 0.6554 0.1554 0.5000  2 H 1.83
Pd 0.8446 0.6554 0.5000  2 H 1.83

Results
VASP energy in eV/atom: -5.170
Calculated volume in Å³/cell: 137.86